No. 1
DFT (PBE-GGA) results for a geometry-optimized Ni2BIr structure.

Calculated values
Formation enthalpy at 0 K ... 0.457 eV per atom
Calculated density ... 11.683 g/cm³
Space-group type ... No. 122
E ... -50.5 eV/cell

POSCAR file:
```
Ni2BIr
1.0
-1.021 -3.036 0.435
2.565 -1.097 -1.633
5.306 -2.527 6.831
B Ni Ir
2 4 2
Cartesian
0.772 -2.066 -0.599
4.321 -2.845 2.299
5.303 -5.500 4.092
1.020 -2.634 1.771
2.791 -1.729 0.746
4.586 -3.457 4.657
2.528 -3.815 3.334
0.000 0.000 0.000
```

No. 2
DFT (PBE-GGA) results for a geometry-optimized Ba2InOs structure.

Calculated values
Formation enthalpy at 0 K ... 0.331 eV per atom
Calculated density ... 7.514 g/cm³
Space-group type ... No. 44
E ... -16.5 eV/cell

POSCAR file:
```
Ba2InOs
1.0
6.813 0.012 0.002
3.359 5.927 -0.002
-4.440 -4.077 3.176
In Os Ba
1 1 2
Cartesian
5.738 3.351 0.000
3.468 -0.701 1.589
2.130 2.484 1.587
9.655 5.637 0.000
```

No. 3
DFT (PBE-GGA) results for a geometry-optimized KMnCr2 structure.

Calculated values
Formation enthalpy at 0 K ... 1.508 eV per atom
E above lowest polymorph ... 286 kJ/mol of formula units
Calculated density ... 3.579 g/cm³
Space-group type ... No. 12
E ... -23.5 eV/cell

POSCAR file:
```
KMnCr2
1.0
-5.168 1.936 -1.475
1.025 -5.137 -2.278
-1.172 -1.306 2.461
Cr Mn K
2 1 1
Cartesian
0.000 0.000 0.000
-2.072 -1.601 -1.876
-0.074 -3.222 0.092
-3.170 0.315 0.493
```

No. 4
DFT (PBE-GGA) results for a geometry-optimized CaPuI structure.

Calculated values
Calculated density ... 6.945 g/cm³
Space-group type ... No. 129
E ... -37.7 eV/cell
Energy relative to the elements, uncorrected ... -0.95 eV per formula unit

POSCAR file:
```
CaPuI
1.0
-3.619 1.514 1.481
-1.616 -3.869 0.008
3.652 -1.502 10.455
Pu I Ca
2 2 2
Cartesian
0.000 0.000 0.000
-2.617 -1.177 0.745
0.969 -0.386 8.696
0.065 -2.294 2.505
-0.419 0.185 4.720
1.454 -2.865 6.480
```

- The highest calculated density belongs to which entry?
  Ni2BIr

- What is the E in the fourth record?
  -37.7 eV/cell

- Look up the E of the second one.
  -16.5 eV/cell

- Look up the calculated density of the first one.
  11.683 g/cm³